Compound: V3AgO8
Source: Alexandria via LeMat-Bulk
Functional: PBE+U
Structure: relaxed

Properties
E above lowest polymorph = 85 meV per atom
Magnetization = 0.0000 μB/atom

Unit cell a=5.564 b=5.564 c=6.496 alpha=90.00 beta=90.00 gamma=120.00
Positions (direct):
V1 0.000 0.000 0.000
V2 0.333 0.667 0.258
V3 0.667 0.333 0.742
Ag1 0.000 0.000 0.500
O1 0.156 0.841 0.172
O2 0.159 0.316 0.172
O3 0.316 0.156 0.828
O4 0.333 0.667 0.511
O5 0.667 0.333 0.489
O6 0.684 0.844 0.172
O7 0.841 0.684 0.828
O8 0.844 0.159 0.828